Ac2In2Pd15: optimized geometry, PBE.

Structure (CIF):
```
data_Ac2In2Pd15
_symmetry_space_group_name_H-M 'R -3 m'
_symmetry_Int_Tables_number 166
_symmetry_space_group_name_Hall '-R 3 2"'
_cell_length_a 9.2988
_cell_length_b 9.2988
_cell_length_c 14.0895
_cell_angle_alpha 90.00
_cell_angle_beta 90.00
_cell_angle_gamma 120.00
loop_
_atom_site_label
_atom_site_fract_x
_atom_site_fract_y
_atom_site_fract_z
Ac1 0.0000 0.0000 0.1506
In1 0.0000 0.0000 0.3985
Pd1 0.0000 0.2989 0.5000
Pd2 0.0000 0.5000 0.0000
Pd3 0.0016 0.5008 0.6518
```

Values from the calculation:
The formation energy comes out at -0.4575 eV/atom. The value obtained for the total magnetization is 0.00 Bohr magnetons per cell. The energy comes out at -5.278 eV/atom.

---

Ac2In3Pd5: optimized geometry, PBE.

Structure (CIF):
```
data_Ac2In3Pd5
_symmetry_space_group_name_H-M 'C m c 21'
_symmetry_Int_Tables_number 36
_symmetry_space_group_name_Hall 'C 2c -2'
_cell_length_a 4.4504
_cell_length_b 27.0572
_cell_length_c 7.5584
_cell_angle_alpha 90.00
_cell_angle_beta 90.00
_cell_angle_gamma 90.00
loop_
_atom_site_label
_atom_site_fract_x
_atom_site_fract_y
_atom_site_fract_z
Ac1 0.0000 0.0195 0.0000
Ac2 0.0000 0.3187 0.1181
In1 0.0000 0.1244 0.2525
In2 0.0000 0.2866 0.6471
In3 0.0000 0.4422 0.1766
Pd1 0.0000 0.1094 0.7722
Pd2 0.0000 0.2052 0.9238
Pd3 0.0000 0.2231 0.3571
Pd4 0.0000 0.3817 0.5064
Pd5 0.0000 0.4514 0.7957
```

Values from the calculation:
The formation energy comes out at -0.6527 eV/atom. The value obtained for the total magnetization is 0.00 Bohr magnetons per cell. The energy comes out at -4.892 eV/atom.

---

Ac4InPd2: optimized geometry, PBE.

Structure (CIF):
```
data_Ac4InPd2
_symmetry_space_group_name_H-M 'C 1 c 1'
_symmetry_Int_Tables_number 9
_symmetry_space_group_name_Hall 'C -2yc'
_cell_length_a 9.3881
_cell_length_b 16.5814
_cell_length_c 7.5404
_cell_angle_alpha 90.00
_cell_angle_beta 127.76
_cell_angle_gamma 90.00
loop_
_atom_site_label
_atom_site_fract_x
_atom_site_fract_y
_atom_site_fract_z
Ac1 0.0000 0.0315 0.0000
Ac2 0.2499 0.3230 0.6757
Ac3 0.4199 0.2392 0.3233
Ac4 0.4676 0.0363 0.6321
In1 0.2334 0.1334 0.8108
Pd1 0.1394 0.1630 0.3629
Pd2 0.2233 0.4078 0.0253
```

Values from the calculation:
The formation energy comes out at -0.5539 eV/atom. The value obtained for the total magnetization is 0.00 Bohr magnetons per cell. The energy comes out at -4.776 eV/atom.

---

Ac3In2Pd7: optimized geometry, PBE.

Structure (CIF):
```
data_Ac3In2Pd7
_symmetry_space_group_name_H-M 'P 1 2/m 1'
_symmetry_Int_Tables_number 10
_symmetry_space_group_name_Hall '-P 2y'
_cell_length_a 4.3490
_cell_length_b 4.2253
_cell_length_c 15.9899
_cell_angle_alpha 90.00
_cell_angle_beta 96.41
_cell_angle_gamma 90.00
loop_
_atom_site_label
_atom_site_fract_x
_atom_site_fract_y
_atom_site_fract_z
Ac1 0.0000 0.0000 0.0000
Ac2 0.1797 0.0000 0.4032
In1 0.4326 0.5000 0.8333
Pd1 0.1106 0.5000 0.2694
Pd2 0.3232 0.5000 0.5813
Pd3 0.3810 0.0000 0.7260
Pd4 0.5000 0.5000 0.0000
```

Values from the calculation:
The formation energy comes out at -0.5804 eV/atom. The value obtained for the total magnetization is 0.00 Bohr magnetons per cell. The energy comes out at -5.093 eV/atom.

---

Ac2InPd: optimized geometry, PBE.

Structure (CIF):
```
data_Ac2InPd
_symmetry_space_group_name_H-M 'P 4/m m m'
_symmetry_Int_Tables_number 123
_symmetry_space_group_name_Hall '-P 4 2'
_cell_length_a 3.8718
_cell_length_b 3.8718
_cell_length_c 8.2647
_cell_angle_alpha 90.00
_cell_angle_beta 90.00
_cell_angle_gamma 90.00
loop_
_atom_site_label
_atom_site_fract_x
_atom_site_fract_y
_atom_site_fract_z
Ac1 0.0000 0.0000 0.2227
In1 0.5000 0.5000 0.5000
Pd1 0.5000 0.5000 0.0000
```

Values from the calculation:
The formation energy comes out at -0.5709 eV/atom. The value obtained for the total magnetization is 0.00 Bohr magnetons per cell. The energy comes out at -4.608 eV/atom.

---

AcIn12Pd6: optimized geometry, PBE.

Structure (CIF):
```
data_AcIn12Pd6
_symmetry_space_group_name_H-M 'R -3 m'
_symmetry_Int_Tables_number 166
_symmetry_space_group_name_Hall '-R 3 2"'
_cell_length_a 12.4738
_cell_length_b 12.4738
_cell_length_c 9.5692
_cell_angle_alpha 90.00
_cell_angle_beta 90.00
_cell_angle_gamma 120.00
loop_
_atom_site_label
_atom_site_fract_x
_atom_site_fract_y
_atom_site_fract_z
Ac1 0.0000 0.0000 0.0000
In1 0.0000 0.3839 0.5000
In2 0.0853 0.1706 0.3247
Pd1 0.0460 0.5230 0.2461
```

Values from the calculation:
The formation energy comes out at -0.3727 eV/atom. The value obtained for the total magnetization is 0.00 Bohr magnetons per cell. The energy comes out at -3.958 eV/atom.

---

Ac2InPd9: optimized geometry, PBE.

Structure (CIF):
```
data_Ac2InPd9
_symmetry_space_group_name_H-M 'R -3 m'
_symmetry_Int_Tables_number 166
_symmetry_space_group_name_Hall '-R 3 2"'
_cell_length_a 5.4704
_cell_length_b 5.4704
_cell_length_c 27.6367
_cell_angle_alpha 90.00
_cell_angle_beta 90.00
_cell_angle_gamma 120.00
loop_
_atom_site_label
_atom_site_fract_x
_atom_site_fract_y
_atom_site_fract_z
Ac1 0.0000 0.0000 0.1341
In1 0.0000 0.0000 0.0000
Pd1 0.0000 0.0000 0.3330
Pd2 0.0000 0.0000 0.5000
Pd3 0.0018 0.5009 0.9170
```

Values from the calculation:
The formation energy comes out at -0.4966 eV/atom. The value obtained for the total magnetization is 0.00 Bohr magnetons per cell. The energy comes out at -5.304 eV/atom.

---

AcIn8Pd4: optimized geometry, PBE.

Structure (CIF):
```
data_AcIn8Pd4
_symmetry_space_group_name_H-M 'I 4/m m m'
_symmetry_Int_Tables_number 139
_symmetry_space_group_name_Hall '-I 4 2'
_cell_length_a 9.7955
_cell_length_b 9.7955
_cell_length_c 5.8689
_cell_angle_alpha 90.00
_cell_angle_beta 90.00
_cell_angle_gamma 90.00
loop_
_atom_site_label
_atom_site_fract_x
_atom_site_fract_y
_atom_site_fract_z
Ac1 0.0000 0.0000 0.0000
In1 0.0000 0.2224 0.5000
In2 0.0000 0.3433 0.0000
Pd1 0.2500 0.2500 0.2500
```

Values from the calculation:
The formation energy comes out at -0.4376 eV/atom. The value obtained for the total magnetization is 0.00 Bohr magnetons per cell. The energy comes out at -4.037 eV/atom.